# FeGeI2O, relaxed, DFT PBE+U
# Fermi-level density of states   0.297 states/eV/atom
# Total magnetic moment   4.365 μB per cell
# Relative energy among the computed polymorphs   196 meV/atom
data_FeGeI2O
_cell_length_a 5.905
_cell_length_b 5.905
_cell_length_c 3.780
_cell_angle_alpha 90.00
_cell_angle_beta 90.00
_cell_angle_gamma 90.00
_space_group_name_H-M_alt 'P 4/m m m'
_space_group_IT_number 123
_space_group_name_Hall '-P 4 2'
loop_
_atom_site_label
_atom_site_type_symbol
_atom_site_fract_x
_atom_site_fract_y
_atom_site_fract_z
Fe1 Fe 0.000 0.000 0.000
Ge1 Ge 0.500 0.500 0.500
I1 I 0.000 0.500 0.500
O1 O 0.500 0.500 0.000

=====

# FeGeI2O, relaxed, DFT PBE+U
# Fermi-level density of states   0.360 states/eV/atom
# Total magnetic moment   3.577 μB per cell
# Relative energy among the computed polymorphs   0 meV/atom
data_FeGeI2O
_cell_length_a 5.683
_cell_length_b 5.683
_cell_length_c 3.720
_cell_angle_alpha 90.00
_cell_angle_beta 90.00
_cell_angle_gamma 90.00
_space_group_name_H-M_alt 'P 4/m m m'
_space_group_IT_number 123
_space_group_name_Hall '-P 4 2'
loop_
_atom_site_label
_atom_site_type_symbol
_atom_site_fract_x
_atom_site_fract_y
_atom_site_fract_z
Fe1 Fe 0.000 0.000 0.000
Ge1 Ge 0.500 0.500 0.500
I1 I 0.000 0.500 0.000
O1 O 0.000 0.000 0.500